No. 1
Density functional theory data (GGA-PBE) for a relaxed structure of PuNiCl6.

Cell and atoms, written as POSCAR:
```
PuNiCl6
1.0
3.108 -6.215 0.000
3.108 6.215 0.000
-1.941 0.000 5.903
Pu Ni Cl
1 1 6
Cartesian
0.000 0.000 0.000
2.138 0.000 2.952
1.162 1.718 1.586
0.138 0.000 4.385
1.162 -1.718 1.586
3.113 1.718 4.317
4.138 0.000 1.518
3.113 -1.718 4.317
```

Spin magnetization in μB per formula unit: 2.0
Raw formation energy in eV/atom: -1.20
Calculated volume in Å³ per atom: 28.507
DOS(E_F) in states/eV/f.u.: 14.35
Symmetry: C2/m (12)


No. 2
Density functional theory data (GGA-PBE) for a relaxed structure of RbPuNiCl6.

Cell and atoms, written as POSCAR:
```
RbPuNiCl6
1.0
6.724 0.000 0.000
-3.362 5.823 0.000
0.000 0.000 14.649
Rb Pu Ni Cl
2 2 2 12
Cartesian
0.000 0.000 0.000
0.000 0.000 7.324
0.000 3.882 3.662
3.362 1.941 10.987
0.000 3.882 10.987
3.362 1.941 3.662
-1.092 2.227 9.553
-1.979 3.763 12.421
1.092 2.227 12.421
-0.887 5.655 9.553
2.475 0.167 2.228
1.382 2.060 5.096
1.979 3.763 9.553
0.887 5.655 12.421
4.249 0.167 5.096
2.269 3.596 2.228
5.341 2.060 2.228
4.454 3.596 5.096
```

Spin magnetization in μB per formula unit: 3.0
Raw formation energy in eV/atom: -1.48
Calculated volume in Å³ per atom: 31.861
DOS(E_F) in states/eV/f.u.: 9.72
Symmetry: P-31c (163)


What did the second record say?
Density functional theory data (GGA-PBE) for a relaxed structure of RbPuNiCl6.

Cell and atoms, written as POSCAR:
```
RbPuNiCl6
1.0
6.724 0.000 0.000
-3.362 5.823 0.000
0.000 0.000 14.649
Rb Pu Ni Cl
2 2 2 12
Cartesian
0.000 0.000 0.000
0.000 0.000 7.324
0.000 3.882 3.662
3.362 1.941 10.987
0.000 3.882 10.987
3.362 1.941 3.662
-1.092 2.227 9.553
-1.979 3.763 12.421
1.092 2.227 12.421
-0.887 5.655 9.553
2.475 0.167 2.228
1.382 2.060 5.096
1.979 3.763 9.553
0.887 5.655 12.421
4.249 0.167 5.096
2.269 3.596 2.228
5.341 2.060 2.228
4.454 3.596 5.096
```

Spin magnetization in μB per formula unit: 3.0
Raw formation energy in eV/atom: -1.48
Calculated volume in Å³ per atom: 31.861
DOS(E_F) in states/eV/f.u.: 9.72
Symmetry: P-31c (163)


Which of these has the lowest DOS(E_F)? RbPuNiCl6


Which formula does entry 1 have? PuNiCl6